No. 1
A relaxed structure of KMnTc, computed with PBE-GGA.

Results
The value obtained for the formation energy is 948 meV/atom. Its total energy is -5.9297 eV per atom. The relative energy among the computed polymorphs is 0.3852 eV/atom. The total moment comes out at 2.566 μB/f.u. The calculation puts the density of states at the Fermi level at 2.42 states/eV/f.u.

abc: 8.142 7.961 2.873
angles: 83.29 76.19 20.51
Positions (direct):
1 K 0.000 0.000 0.000
2 Mn 0.301 0.301 0.699
3 Tc 0.691 0.691 0.309

No. 2
A relaxed structure of FeCu2Ag, computed with PBE-GGA.

Results
The value obtained for the formation energy is 225 meV/atom. Its total energy is -4.6519 eV per atom. The relative energy among the computed polymorphs is 0.0552 eV/atom. The total moment comes out at 2.766 μB/f.u. The calculation puts the density of states at the Fermi level at 3.69 states/eV/f.u.

abc: 8.827 8.827 8.827
angles: 17.56 17.56 17.56
Positions (direct):
1 Fe 0.000 0.000 0.000
2 Cu 0.255 0.255 0.255
3 Cu 0.745 0.745 0.745
4 Ag 0.500 0.500 0.500

No. 3
A relaxed structure of Y6PbS8, computed with PBE-GGA.

Results
Its total energy is -6.7136 eV per atom. The total moment comes out at 2.042 μB/f.u. The calculation puts the density of states at the Fermi level at 0.86 states/eV/f.u.

abc: 7.808 7.808 7.808
angles: 94.51 94.51 94.51
Positions (direct):
1 Y 0.066 0.863 0.692
2 Y 0.137 0.308 0.934
3 Y 0.308 0.934 0.137
4 Y 0.692 0.066 0.863
5 Y 0.863 0.692 0.066
6 Y 0.934 0.137 0.308
7 Pb 0.500 0.500 0.500
8 S 0.072 0.824 0.350
9 S 0.176 0.650 0.928
10 S 0.256 0.256 0.256
11 S 0.350 0.072 0.824
12 S 0.650 0.928 0.176
13 S 0.744 0.744 0.744
14 S 0.824 0.350 0.072
15 S 0.928 0.176 0.650

No. 4
A relaxed structure of Ac6BiSb2Te3, computed with PBE-GGA.

Results
Its total energy is -5.2084 eV per atom. The total moment comes out at 0.000 μB/f.u. The calculation puts the density of states at the Fermi level at 5.46 states/eV/f.u.

abc: 10.695 10.695 9.548
angles: 102.73 102.73 25.89
Positions (direct):
1 Ac 0.003 0.003 0.251
2 Ac 0.331 0.331 0.422
3 Ac 0.333 0.333 0.909
4 Ac 0.667 0.667 0.091
5 Ac 0.669 0.669 0.578
6 Ac 0.997 0.997 0.749
7 Bi 0.500 0.500 0.000
8 Sb 0.167 0.167 0.333
9 Sb 0.833 0.833 0.667
10 Te 0.166 0.166 0.833
11 Te 0.500 0.500 0.500
12 Te 0.834 0.834 0.167

No. 5
A relaxed structure of Pa2MnBe, computed with PBE-GGA.

Results
The value obtained for the formation energy is 216 meV/atom. Its total energy is -7.7557 eV per atom. The total moment comes out at 0.000 μB/f.u. The calculation puts the density of states at the Fermi level at 5.57 states/eV/f.u.

abc: 4.692 4.692 4.692
angles: 59.71 59.71 59.71
Positions (direct):
1 Pa 0.250 0.250 0.250
2 Pa 0.750 0.750 0.750
3 Mn 0.000 0.000 0.000
4 Be 0.500 0.500 0.500

No. 6
A relaxed structure of Dy2TmGe2, computed with PBE-GGA.

Results
The value obtained for the formation energy is -692 meV/atom. Its total energy is -5.2744 eV per atom. The relative energy among the computed polymorphs is 0.1014 eV/atom. The total moment comes out at 0.000 μB/f.u. The calculation puts the density of states at the Fermi level at 2.81 states/eV/f.u.

abc: 6.462 6.462 10.430
angles: 115.20 115.20 39.34
Positions (direct):
1 Dy 0.017 0.017 0.187
2 Dy 0.182 0.182 0.587
3 Dy 0.818 0.818 0.413
4 Dy 0.983 0.983 0.813
5 Tm 0.282 0.282 0.141
6 Tm 0.718 0.718 0.859
7 Ge 0.381 0.381 0.934
8 Ge 0.473 0.473 0.609
9 Ge 0.527 0.527 0.391
10 Ge 0.619 0.619 0.066

Among the records above, which one has the highest total moment? FeCu2Ag

Repeat the second record exactly.
A relaxed structure of FeCu2Ag, computed with PBE-GGA.

Results
The value obtained for the formation energy is 225 meV/atom. Its total energy is -4.6519 eV per atom. The relative energy among the computed polymorphs is 0.0552 eV/atom. The total moment comes out at 2.766 μB/f.u. The calculation puts the density of states at the Fermi level at 3.69 states/eV/f.u.

abc: 8.827 8.827 8.827
angles: 17.56 17.56 17.56
Positions (direct):
1 Fe 0.000 0.000 0.000
2 Cu 0.255 0.255 0.255
3 Cu 0.745 0.745 0.745
4 Ag 0.500 0.500 0.500